(1)
Density functional theory data (PBE) for Ce3Si2S8I after structural relaxation.

CIF file:
```
data_Ce3Si2S8I
_cell_length_a 16.061
_cell_length_b 7.887
_cell_length_c 10.925
_cell_angle_alpha 90.00
_cell_angle_beta 97.48
_cell_angle_gamma 90.00
_space_group_name_H-M_alt 'C 1 2/c 1'
_space_group_IT_number 15
loop_
_space_group_symop_operation_xyz
'x,y,z'
'-x,-y,-z'
'-x,y,-z+1/2'
'x,-y,z+1/2'
'x+1/2,y+1/2,z'
'-x+1/2,-y+1/2,-z'
'-x+1/2,y+1/2,-z+1/2'
'x+1/2,-y+1/2,z+1/2'
loop_
_atom_site_label
_atom_site_type_symbol
_atom_site_fract_x
_atom_site_fract_y
_atom_site_fract_z
Ce1 Ce 0.000 0.094 0.250
Ce2 Ce 0.200 0.377 0.682
Si1 Si 0.160 0.037 0.031
S1 S 0.069 0.153 0.547
S2 S 0.145 0.245 0.149
S3 S 0.150 0.100 0.840
S4 S 0.218 0.432 0.415
I1 I 0.000 0.488 0.750
```

Total DFT energy (no corrections) ... -5.91 eV/atom



(2)
Density functional theory data (PBE) for CeTl2S2I2 after structural relaxation.

CIF file:
```
data_CeTl2S2I2
_cell_length_a 5.339
_cell_length_b 5.339
_cell_length_c 18.050
_cell_angle_alpha 90.00
_cell_angle_beta 90.00
_cell_angle_gamma 90.00
_space_group_name_H-M_alt 'I 4/m m m'
_space_group_IT_number 139
_space_group_name_Hall '-I 4 2'
loop_
_atom_site_label
_atom_site_type_symbol
_atom_site_fract_x
_atom_site_fract_y
_atom_site_fract_z
Ce1 Ce 0.000 0.000 0.000
Tl1 Tl 0.000 0.000 0.382
S1 S 0.000 0.500 0.000
I1 I 0.000 0.000 0.172
```

Total DFT energy (no corrections) ... -4.19 eV/atom



(3)
Density functional theory data (PBE) for CeSbI2 after structural relaxation.

CIF file:
```
data_CeSbI2
_cell_length_a 3.8931
_cell_length_b 3.8931
_cell_length_c 33.5193
_cell_angle_alpha 90.00
_cell_angle_beta 90.00
_cell_angle_gamma 120.00
_space_group_name_H-M_alt 'R -3 m'
_space_group_IT_number 166
_space_group_name_Hall '-R 3 2"'
loop_
_atom_site_label
_atom_site_type_symbol
_atom_site_fract_x
_atom_site_fract_y
_atom_site_fract_z
Ce1 Ce 0.0000 0.0000 0.0000
Sb1 Sb 0.0000 0.0000 0.5000
I1 I 0.0000 0.0000 0.3997
```

Total DFT energy (no corrections) ... -3.77 eV/atom